No. 1
VASP calculation (PBE) on a geometry-optimized Zr2AgCl structure.

POSCAR file:
```
Zr2AgCl
1.0
-1.5764 1.7948 2.0567
1.0159 -1.8238 2.3618
7.5026 5.4581 0.9874
Zr Ag Cl
2 1 1
Direct
0.5000 0.5000 0.2368
0.0000 0.0000 0.9942
0.0000 0.0000 0.4608
0.5000 0.5000 0.8082
```

Crystal system ... orthorhombic
Excess energy over the best structure of this formula in the dataset ... 57.3 meV per atom
ΔE_f (raw) ... -0.442 eV per atom
Magnetic moment ... 0.00 μB per cell

=====

No. 2
VASP calculation (PBE) on a geometry-optimized La2CrAu2 structure.

POSCAR file:
```
La2CrAu2
1.0
-4.7212 -1.2423 3.3279
3.2902 -3.6159 3.3178
0.1843 0.5976 5.7292
Au La Cr
2 2 1
Direct
0.6678 0.6678 0.6644
0.3322 0.3322 0.3356
0.2500 0.7500 0.5000
0.7500 0.2500 0.5000
0.0000 0.0000 0.0000
```

Crystal system ... tetragonal
Formation enthalpy at 0 K ... 128 meV per atom
Magnetic moment ... 0.41 μB per cell

=====

No. 3
VASP calculation (PBE) on a geometry-optimized FeAs structure.

POSCAR file:
```
FeAs
1.0
-2.6920 3.2753 -4.9872
-4.1622 -4.9511 -1.0049
-4.2751 2.7579 4.1188
As Fe
6 6
Direct
0.5000 0.0000 0.7500
0.5000 0.0000 0.2500
0.0000 0.7500 0.5000
0.0000 0.2500 0.5000
0.7500 0.5000 0.0000
0.2500 0.5000 0.0000
0.7500 0.0000 0.5000
0.2500 0.0000 0.5000
0.0000 0.5000 0.2500
0.0000 0.5000 0.7500
0.5000 0.2500 0.0000
0.5000 0.7500 0.0000
```

Crystal system ... cubic
Formation enthalpy at 0 K ... 447 meV per atom
Magnetic moment ... 10.47 μB per cell

=====

No. 4
VASP calculation (PBE) on a geometry-optimized KPb2O2 structure.

POSCAR file:
```
KPb2O2
1.0
6.8367 -0.1081 -0.1560
-3.2940 5.7379 1.3858
-3.2940 -0.7164 5.8593
O K Pb
4 2 4
Direct
0.2283 0.2292 0.2281
0.7283 0.2281 0.2292
0.7717 0.7708 0.7719
0.2717 0.7719 0.7708
0.2500 0.9001 0.0999
0.7500 0.0999 0.9001
0.5000 0.5000 0.5000
0.0000 0.0000 0.5000
0.0000 0.5000 0.5000
0.5000 0.5000 0.0000
```

Crystal system ... monoclinic
ΔE_f (raw) ... -0.657 eV per atom
Magnetic moment ... 0.00 μB per cell

=====

Copy entry 2 word for word.
VASP calculation (PBE) on a geometry-optimized La2CrAu2 structure.

POSCAR file:
```
La2CrAu2
1.0
-4.7212 -1.2423 3.3279
3.2902 -3.6159 3.3178
0.1843 0.5976 5.7292
Au La Cr
2 2 1
Direct
0.6678 0.6678 0.6644
0.3322 0.3322 0.3356
0.2500 0.7500 0.5000
0.7500 0.2500 0.5000
0.0000 0.0000 0.0000
```

Crystal system ... tetragonal
Formation enthalpy at 0 K ... 128 meV per atom
Magnetic moment ... 0.41 μB per cell